# PBE CuHgW2, relaxed
data_CuHgW2
_symmetry_space_group_name_H-M 'P 1'
_symmetry_Int_Tables_number 1
_cell_length_a 2.7735
_cell_length_b 2.7735
_cell_length_c 9.0430
_cell_angle_alpha 90.00
_cell_angle_beta 90.00
_cell_angle_gamma 108.02
loop_
_symmetry_equiv_pos_as_xyz
'x,y,z'
loop_
_atom_site_label
_atom_site_type_symbol
_atom_site_fract_x
_atom_site_fract_y
_atom_site_fract_z
Cu1 Cu 0.0000 0.0000 0.4864
Hg1 Hg 0.5000 0.5000 0.7366
W1 W 0.0000 0.0000 0.0178
W2 W 0.5000 0.5000 0.2592
# Space-group type = Cmm2, No. 35
# Fermi-level density of states = 2.15 states/eV/cell
# Crystal system = orthorhombic
# E_form = 0.40 eV per atom



# PBE CuHgW2, relaxed
data_CuHgW2
_symmetry_space_group_name_H-M 'P 1'
_symmetry_Int_Tables_number 1
_cell_length_a 3.2768
_cell_length_b 3.2768
_cell_length_c 6.2353
_cell_angle_alpha 90.00
_cell_angle_beta 90.00
_cell_angle_gamma 90.00
loop_
_symmetry_equiv_pos_as_xyz
'x,y,z'
loop_
_atom_site_label
_atom_site_type_symbol
_atom_site_fract_x
_atom_site_fract_y
_atom_site_fract_z
Cu1 Cu 0.0000 0.0000 0.4896
Hg1 Hg 0.5000 0.5000 0.7263
W1 W 0.0000 0.0000 0.0422
W2 W 0.5000 0.5000 0.2419
# Space-group type = P4mm, No. 99
# Fermi-level density of states = 2.57 states/eV/cell
# Crystal system = tetragonal
# E_form = 0.50 eV per atom



# PBE CuHgW2, relaxed
data_CuHgW2
_symmetry_space_group_name_H-M 'P 1'
_symmetry_Int_Tables_number 1
_cell_length_a 4.8553
_cell_length_b 4.8553
_cell_length_c 5.1892
_cell_angle_alpha 84.21
_cell_angle_beta 84.21
_cell_angle_gamma 32.73
loop_
_symmetry_equiv_pos_as_xyz
'x,y,z'
loop_
_atom_site_label
_atom_site_type_symbol
_atom_site_fract_x
_atom_site_fract_y
_atom_site_fract_z
Cu1 Cu 0.4965 0.4965 0.5008
Hg1 Hg 0.2487 0.2487 0.2682
W1 W 0.0000 0.0000 0.9747
W2 W 0.7548 0.7548 0.7563
# Space-group type = Cm, No. 8
# Fermi-level density of states = 2.37 states/eV/cell
# Crystal system = monoclinic
# E_form = 0.63 eV per atom



# PBE CuHgW2, relaxed
data_CuHgW2
_symmetry_space_group_name_H-M 'P 1'
_symmetry_Int_Tables_number 1
_cell_length_a 5.1680
_cell_length_b 5.1680
_cell_length_c 5.1680
_cell_angle_alpha 136.55
_cell_angle_beta 136.55
_cell_angle_gamma 63.13
loop_
_symmetry_equiv_pos_as_xyz
'x,y,z'
loop_
_atom_site_label
_atom_site_type_symbol
_atom_site_fract_x
_atom_site_fract_y
_atom_site_fract_z
Cu1 Cu 0.2500 0.7500 0.5000
Hg1 Hg 0.7500 0.2500 0.5000
W1 W 0.0000 0.0000 0.0000
W2 W 0.5000 0.5000 0.0000
# Space-group type = I4/mmm, No. 139
# Fermi-level density of states = 1.94 states/eV/cell
# Crystal system = tetragonal
# E_form = 0.60 eV per atom



# PBE CuHgW2, relaxed
data_CuHgW2
_symmetry_space_group_name_H-M 'P 1'
_symmetry_Int_Tables_number 1
_cell_length_a 4.4098
_cell_length_b 3.8226
_cell_length_c 3.8226
_cell_angle_alpha 90.00
_cell_angle_beta 90.00
_cell_angle_gamma 90.00
loop_
_symmetry_equiv_pos_as_xyz
'x,y,z'
loop_
_atom_site_label
_atom_site_type_symbol
_atom_site_fract_x
_atom_site_fract_y
_atom_site_fract_z
Cu1 Cu 0.5000 0.5000 0.0000
Hg1 Hg 0.5000 0.0000 0.5000
W1 W 0.0000 0.0000 0.0000
W2 W 0.0000 0.5000 0.5000
# Space-group type = P4/mmm, No. 123
# Fermi-level density of states = 0.85 states/eV/cell
# Crystal system = tetragonal
# E_form = 0.59 eV per atom



# PBE CuHgW2, relaxed
data_CuHgW2
_symmetry_space_group_name_H-M 'P 1'
_symmetry_Int_Tables_number 1
_cell_length_a 5.1432
_cell_length_b 5.1432
_cell_length_c 5.1432
_cell_angle_alpha 142.14
_cell_angle_beta 126.75
_cell_angle_gamma 67.18
loop_
_symmetry_equiv_pos_as_xyz
'x,y,z'
loop_
_atom_site_label
_atom_site_type_symbol
_atom_site_fract_x
_atom_site_fract_y
_atom_site_fract_z
Cu1 Cu 0.5030 0.5030 0.0000
Hg1 Hg 0.2607 0.7607 0.5000
W1 W 0.9823 0.9823 0.0000
W2 W 0.7540 0.2540 0.5000
# Space-group type = Imm2, No. 44
# Fermi-level density of states = 1.78 states/eV/cell
# Crystal system = orthorhombic
# E_form = 0.65 eV per atom



# PBE CuHgW2, relaxed
data_CuHgW2
_symmetry_space_group_name_H-M 'P 1'
_symmetry_Int_Tables_number 1
_cell_length_a 3.2629
_cell_length_b 3.2629
_cell_length_c 6.1989
_cell_angle_alpha 90.00
_cell_angle_beta 90.00
_cell_angle_gamma 90.00
loop_
_symmetry_equiv_pos_as_xyz
'x,y,z'
loop_
_atom_site_label
_atom_site_type_symbol
_atom_site_fract_x
_atom_site_fract_y
_atom_site_fract_z
Cu1 Cu 0.5000 0.5000 0.2500
Hg1 Hg 0.5000 0.5000 0.7500
W1 W 0.0000 0.0000 0.0512
W2 W 0.0000 0.0000 0.4488
# Space-group type = P4/mmm, No. 123
# Fermi-level density of states = 1.73 states/eV/cell
# Crystal system = tetragonal
# E_form = 0.73 eV per atom



# PBE CuHgW2, relaxed
data_CuHgW2
_symmetry_space_group_name_H-M 'P 1'
_symmetry_Int_Tables_number 1
_cell_length_a 4.3539
_cell_length_b 2.7432
_cell_length_c 5.8558
_cell_angle_alpha 68.34
_cell_angle_beta 90.00
_cell_angle_gamma 90.00
loop_
_symmetry_equiv_pos_as_xyz
'x,y,z'
loop_
_atom_site_label
_atom_site_type_symbol
_atom_site_fract_x
_atom_site_fract_y
_atom_site_fract_z
Cu1 Cu 0.5000 0.2500 0.2500
Hg1 Hg 0.5000 0.7500 0.7500
W1 W 0.0000 0.0213 0.0226
W2 W 0.0000 0.4787 0.4774
# Space-group type = P2/m, No. 10
# Fermi-level density of states = 0.60 states/eV/cell
# Crystal system = monoclinic
# E_form = 0.61 eV per atom



# PBE CuHgW2, relaxed
data_CuHgW2
_symmetry_space_group_name_H-M 'P 1'
_symmetry_Int_Tables_number 1
_cell_length_a 5.1427
_cell_length_b 5.1427
_cell_length_c 2.7464
_cell_angle_alpha 90.00
_cell_angle_beta 90.00
_cell_angle_gamma 116.64
loop_
_symmetry_equiv_pos_as_xyz
'x,y,z'
loop_
_atom_site_label
_atom_site_type_symbol
_atom_site_fract_x
_atom_site_fract_y
_atom_site_fract_z
Cu1 Cu 0.5000 0.0000 0.5000
Hg1 Hg 0.0000 0.5000 0.5000
W1 W 0.0000 0.0000 0.0000
W2 W 0.5000 0.5000 0.0000
# Space-group type = Cmmm, No. 65
# Fermi-level density of states = 1.07 states/eV/cell
# Crystal system = orthorhombic
# E_form = 0.66 eV per atom



# PBE CuHg4W, relaxed
data_CuHg4W
_symmetry_space_group_name_H-M 'P 1'
_symmetry_Int_Tables_number 1
_cell_length_a 5.6966
_cell_length_b 5.6966
_cell_length_c 5.6966
_cell_angle_alpha 60.00
_cell_angle_beta 60.00
_cell_angle_gamma 60.00
loop_
_symmetry_equiv_pos_as_xyz
'x,y,z'
loop_
_atom_site_label
_atom_site_type_symbol
_atom_site_fract_x
_atom_site_fract_y
_atom_site_fract_z
Cu1 Cu 0.0000 0.0000 0.0000
Hg1 Hg 0.8750 0.3750 0.3750
Hg2 Hg 0.3750 0.3750 0.8750
Hg3 Hg 0.3750 0.8750 0.3750
Hg4 Hg 0.3750 0.3750 0.3750
W1 W 0.7500 0.7500 0.7500
# Space-group type = F-43m, No. 216
# Fermi-level density of states = 3.40 states/eV/cell
# Crystal system = cubic
# E_form = 1.14 eV per atom



# PBE CuHgW2, relaxed
data_CuHgW2
_symmetry_space_group_name_H-M 'P 1'
_symmetry_Int_Tables_number 1
_cell_length_a 9.5490
_cell_length_b 9.5490
_cell_length_c 9.5490
_cell_angle_alpha 17.10
_cell_angle_beta 17.10
_cell_angle_gamma 17.10
loop_
_symmetry_equiv_pos_as_xyz
'x,y,z'
loop_
_atom_site_label
_atom_site_type_symbol
_atom_site_fract_x
_atom_site_fract_y
_atom_site_fract_z
Cu1 Cu 0.2500 0.2500 0.2500
Hg1 Hg 0.7500 0.7500 0.7500
W1 W 0.9942 0.9942 0.9942
W2 W 0.5058 0.5058 0.5058
# Space-group type = R-3m, No. 166
# Fermi-level density of states = 4.43 states/eV/cell
# Crystal system = trigonal
# E_form = 0.71 eV per atom



# PBE CuHgW2, relaxed
data_CuHgW2
_symmetry_space_group_name_H-M 'P 1'
_symmetry_Int_Tables_number 1
_cell_length_a 4.5386
_cell_length_b 4.5386
_cell_length_c 4.5386
_cell_angle_alpha 60.00
_cell_angle_beta 60.00
_cell_angle_gamma 60.00
loop_
_symmetry_equiv_pos_as_xyz
'x,y,z'
loop_
_atom_site_label
_atom_site_type_symbol
_atom_site_fract_x
_atom_site_fract_y
_atom_site_fract_z
Cu1 Cu 0.5000 0.5000 0.5000
Hg1 Hg 0.7500 0.7500 0.7500
W1 W 0.0000 0.0000 0.0000
W2 W 0.2500 0.2500 0.2500
# Space-group type = F-43m, No. 216
# Fermi-level density of states = 2.51 states/eV/cell
# Crystal system = cubic
# E_form = 0.78 eV per atom



# PBE YCu2Hg, relaxed
data_YCu2Hg
_symmetry_space_group_name_H-M 'P 1'
_symmetry_Int_Tables_number 1
_cell_length_a 4.4204
_cell_length_b 4.4204
_cell_length_c 9.6231
_cell_angle_alpha 76.72
_cell_angle_beta 76.72
_cell_angle_gamma 90.00
loop_
_symmetry_equiv_pos_as_xyz
'x,y,z'
loop_
_atom_site_label
_atom_site_type_symbol
_atom_site_fract_x
_atom_site_fract_y
_atom_site_fract_z
Y1 Y 0.5000 0.5000 0.0000
Y2 Y 0.2500 0.7500 0.5000
Hg1 Hg 0.0000 0.0000 0.0000
Hg2 Hg 0.7500 0.2500 0.5000
Cu1 Cu 0.7553 0.1250 0.2500
Cu2 Cu 0.9947 0.6250 0.2500
Cu3 Cu 0.3750 0.2447 0.7500
Cu4 Cu 0.8750 0.0053 0.7500
# Space-group type = I-42d, No. 122
# Fermi-level density of states = 5.68 states/eV/cell
# Crystal system = tetragonal
# E_form = 0.13 eV per atom



# PBE YCuHg, relaxed
data_YCuHg
_symmetry_space_group_name_H-M 'P 1'
_symmetry_Int_Tables_number 1
_cell_length_a 4.6173
_cell_length_b 4.6173
_cell_length_c 4.6173
_cell_angle_alpha 60.00
_cell_angle_beta 60.00
_cell_angle_gamma 60.00
loop_
_symmetry_equiv_pos_as_xyz
'x,y,z'
loop_
_atom_site_label
_atom_site_type_symbol
_atom_site_fract_x
_atom_site_fract_y
_atom_site_fract_z
Cu1 Cu 0.7500 0.7500 0.7500
Hg1 Hg 0.0000 0.0000 0.0000
Y1 Y 0.5000 0.5000 0.5000
# Space-group type = F-43m, No. 216
# Fermi-level density of states = 3.42 states/eV/cell
# Crystal system = cubic
# E_form = -0.21 eV per atom



# PBE Y2CuHg2, relaxed
data_Y2CuHg2
_symmetry_space_group_name_H-M 'P 1'
_symmetry_Int_Tables_number 1
_cell_length_a 7.3574
_cell_length_b 7.3574
_cell_length_c 4.5076
_cell_angle_alpha 90.00
_cell_angle_beta 90.00
_cell_angle_gamma 90.00
loop_
_symmetry_equiv_pos_as_xyz
'x,y,z'
loop_
_atom_site_label
_atom_site_type_symbol
_atom_site_fract_x
_atom_site_fract_y
_atom_site_fract_z
Y1 Y 0.1673 0.6673 0.5000
Y2 Y 0.6673 0.8327 0.5000
Y3 Y 0.8327 0.3327 0.5000
Y4 Y 0.3327 0.1673 0.5000
Hg1 Hg 0.3589 0.8589 0.0000
Hg2 Hg 0.8589 0.6411 0.0000
Hg3 Hg 0.6411 0.1411 0.0000
Hg4 Hg 0.1411 0.3589 0.0000
Cu1 Cu 0.0000 0.0000 0.0000
Cu2 Cu 0.5000 0.5000 0.0000
# Space-group type = P4/mbm, No. 127
# Fermi-level density of states = 12.12 states/eV/cell
# Crystal system = tetragonal
# E_form = -0.25 eV per atom
# Energy above the most stable polymorph in this dataset = 0.000 kcal/mol of atoms



# PBE YCu2Hg, relaxed
data_YCu2Hg
_symmetry_space_group_name_H-M 'P 1'
_symmetry_Int_Tables_number 1
_cell_length_a 3.3349
_cell_length_b 3.3349
_cell_length_c 6.7719
_cell_angle_alpha 90.00
_cell_angle_beta 90.00
_cell_angle_gamma 90.00
loop_
_symmetry_equiv_pos_as_xyz
'x,y,z'
loop_
_atom_site_label
_atom_site_type_symbol
_atom_site_fract_x
_atom_site_fract_y
_atom_site_fract_z
Cu1 Cu 0.0000 0.0000 0.0477
Cu2 Cu 0.5000 0.5000 0.2150
Hg1 Hg 0.0000 0.0000 0.4548
Y1 Y 0.5000 0.5000 0.7824
# Space-group type = P4mm, No. 99
# Fermi-level density of states = 2.36 states/eV/cell
# Crystal system = tetragonal
# E_form = -0.10 eV per atom



# PBE Y2Cu2Hg, relaxed
data_Y2Cu2Hg
_symmetry_space_group_name_H-M 'P 1'
_symmetry_Int_Tables_number 1
_cell_length_a 3.5119
_cell_length_b 3.5119
_cell_length_c 9.2612
_cell_angle_alpha 79.07
_cell_angle_beta 79.07
_cell_angle_gamma 90.00
loop_
_symmetry_equiv_pos_as_xyz
'x,y,z'
loop_
_atom_site_label
_atom_site_type_symbol
_atom_site_fract_x
_atom_site_fract_y
_atom_site_fract_z
Y1 Y 0.3839 0.3839 0.2321
Y2 Y 0.6161 0.6161 0.7679
Hg1 Hg 0.0000 0.0000 0.0000
Cu1 Cu 0.7500 0.2500 0.5000
Cu2 Cu 0.2500 0.7500 0.5000
# Space-group type = I4/mmm, No. 139
# Fermi-level density of states = 4.51 states/eV/cell
# Crystal system = tetragonal
# E_form = -0.16 eV per atom



# PBE YCu2Hg, relaxed
data_YCu2Hg
_symmetry_space_group_name_H-M 'P 1'
_symmetry_Int_Tables_number 1
_cell_length_a 4.4304
_cell_length_b 4.4304
_cell_length_c 3.9723
_cell_angle_alpha 90.04
_cell_angle_beta 90.04
_cell_angle_gamma 90.01
loop_
_symmetry_equiv_pos_as_xyz
'x,y,z'
loop_
_atom_site_label
_atom_site_type_symbol
_atom_site_fract_x
_atom_site_fract_y
_atom_site_fract_z
Cu1 Cu 0.0000 0.0000 0.0000
Cu2 Cu 0.5000 0.5000 0.0000
Hg1 Hg 0.5000 0.0000 0.5000
Y1 Y 0.0000 0.5000 0.5000
# Space-group type = P4/mmm, No. 123
# Fermi-level density of states = 1.98 states/eV/cell
# Crystal system = tetragonal
# E_form = -0.05 eV per atom



# PBE YCu2Hg, relaxed
data_YCu2Hg
_symmetry_space_group_name_H-M 'P 1'
_symmetry_Int_Tables_number 1
_cell_length_a 4.3332
_cell_length_b 3.4805
_cell_length_c 5.4936
_cell_angle_alpha 90.01
_cell_angle_beta 90.00
_cell_angle_gamma 90.00
loop_
_symmetry_equiv_pos_as_xyz
'x,y,z'
loop_
_atom_site_label
_atom_site_type_symbol
_atom_site_fract_x
_atom_site_fract_y
_atom_site_fract_z
Cu1 Cu 0.0000 0.2500 0.9760
Cu2 Cu 0.0000 0.2500 0.5240
Hg1 Hg 0.5000 0.2500 0.2500
Y1 Y 0.5000 0.7500 0.7500
# Space-group type = Pmmm, No. 47
# Fermi-level density of states = 1.88 states/eV/cell
# Crystal system = orthorhombic
# E_form = -0.10 eV per atom



# PBE Y3Cu2Hg3, relaxed
data_Y3Cu2Hg3
_symmetry_space_group_name_H-M 'P 1'
_symmetry_Int_Tables_number 1
_cell_length_a 3.8253
_cell_length_b 7.4181
_cell_length_c 7.4181
_cell_angle_alpha 120.00
_cell_angle_beta 90.00
_cell_angle_gamma 90.00
loop_
_symmetry_equiv_pos_as_xyz
'x,y,z'
loop_
_atom_site_label
_atom_site_type_symbol
_atom_site_fract_x
_atom_site_fract_y
_atom_site_fract_z
Y1 Y 0.5000 0.4053 0.4053
Y2 Y 0.5000 0.5947 0.0000
Y3 Y 0.5000 0.0000 0.5947
Cu1 Cu 0.0000 0.3333 0.6667
Cu2 Cu 0.0000 0.6667 0.3333
Hg1 Hg 0.0000 0.7543 0.7543
Hg2 Hg 0.0000 0.2457 0.0000
Hg3 Hg 0.0000 0.0000 0.2457
# Space-group type = P-62m, No. 189
# Fermi-level density of states = 8.23 states/eV/cell
# Crystal system = hexagonal
# E_form = -0.37 eV per atom